Record 1
Computed, not measured: a relaxed structure of CdRu2W at the PBE level of DFT.

energy of formation	665	meV/atom
D(E_F)	0.29	states/eV per atom
space-group type	No. 122

Cell: 7.128 7.128 5.785 Å, 51.97 51.97 90.00°
Atoms (fractional coordinates):
Ru  0.375  0.330  0.750
Ru  0.080  0.625  0.250
W  0.750  0.250  0.500
W  0.000  0.000  0.000
Cd  0.250  0.750  0.500
Ru  0.875  0.920  0.750
Cd  0.500  0.500  0.000
Ru  0.670  0.125  0.250

Record 2
Computed, not measured: a relaxed structure of CaSmTlZn at the PBE level of DFT.

energy of formation	-356	meV/atom
D(E_F)	0.44	states/eV per atom
space-group type	No. 216

Cell: 5.336 5.336 5.336 Å, 60.00 60.00 60.00°
Atoms (fractional coordinates):
Tl  0.500  0.500  0.500
Sm  0.750  0.750  0.750
Zn  0.000  0.000  0.000
Ca  0.250  0.250  0.250

Record 3
Computed, not measured: a relaxed structure of Rb3Tb3PuS8 at the PBE level of DFT.

D(E_F)	0.77	states/eV per atom
space-group type	No. 166
formation energy from raw total energies	-1.7689	eV/atom

Cell: 8.118 8.119 9.111 Å, 116.49 90.00 120.00°
Site moments in Bohr magnetons follow the coordinates.
Atoms (fractional coordinates):
Tb  0.000  0.500  0.500  0.00
Tb  0.500  0.500  0.500  0.00
Tb  0.500  0.000  0.500  0.00
Rb  0.000  0.000  0.000  0.00
S  0.270  0.539  0.309  0.00
S  0.264  0.039  0.314  -0.07
S  0.736  0.961  0.686  -0.07
S  0.730  0.461  0.691  0.00
Rb  0.500  0.500  0.000  0.00
S  0.225  0.450  0.686  -0.07
Pu  0.000  0.000  0.500  4.50
Rb  0.000  0.500  0.000  0.00
S  0.225  0.961  0.686  -0.07
S  0.775  0.550  0.314  -0.07
S  0.775  0.039  0.314  -0.07

Record 4
Computed, not measured: a relaxed structure of BeFeW2 at the PBE level of DFT.

energy of formation	317	meV/atom
D(E_F)	0.91	states/eV per atom
space-group type	No. 216

Cell: 4.244 4.244 4.244 Å, 60.00 60.00 60.00°
Site moments in Bohr magnetons follow the coordinates.
Atoms (fractional coordinates):
W  0.000  0.000  0.000  -0.13
W  0.250  0.250  0.250  0.45
Fe  0.750  0.750  0.750  1.53
Be  0.500  0.500  0.500  -0.02